[1]
# BaGaRuPb2 | Alexandria via LeMat-Bulk | PBE-GGA | relaxed
# energy = -12.5 eV per formula unit
# E_form = 1.82 eV/atom
# M_tot = 0.429 μB per atom
data_BaGaRuPb2
_chemical_formula_sum 'Ba1 Ga1 Ru1 Pb2'
_cell_length_a 6.2066
_cell_length_b 6.2066
_cell_length_c 5.7392
_cell_angle_alpha 90.00
_cell_angle_beta 90.00
_cell_angle_gamma 90.00
_symmetry_space_group_name_H-M 'P 4/m m m'
_symmetry_Int_Tables_number 123
_symmetry_space_group_name_Hall '-P 4 2'
loop_
_atom_site_label
_atom_site_fract_x
_atom_site_fract_y
_atom_site_fract_z
Ba1 0.0000 0.0000 0.0000
Ga1 0.0000 0.0000 0.5000
Ru1 0.5000 0.5000 0.5000
Pb1 0.0000 0.5000 0.0000

[2]
# Ba2GaPbS5 | Alexandria via LeMat-Bulk | PBE-GGA | relaxed
# energy = -42.1 eV per formula unit
# M_tot = 0.000 μB per atom
data_Ba2GaPbS5
_chemical_formula_sum 'Ba8 Ga4 Pb4 S20'
_cell_length_a 4.0957
_cell_length_b 18.4214
_cell_length_c 13.1831
_cell_angle_alpha 90.00
_cell_angle_beta 90.00
_cell_angle_gamma 90.00
_symmetry_space_group_name_H-M 'C m c 21'
_symmetry_Int_Tables_number 36
_symmetry_space_group_name_Hall 'C 2c -2'
loop_
_atom_site_label
_atom_site_fract_x
_atom_site_fract_y
_atom_site_fract_z
Ba1 0.0000 0.1136 0.0000
Ba2 0.0000 0.1287 0.6448
Ga1 0.0000 0.4457 0.7396
Pb1 0.0000 0.2064 0.3502
S1 0.0000 0.0342 0.3335
S2 0.0000 0.2885 0.9950
S3 0.0000 0.3239 0.6937
S4 0.0000 0.3501 0.3248
S5 0.0000 0.4953 0.0898

[3]
# BaGaPbS2 | Alexandria via LeMat-Bulk | PBE-GGA | relaxed
# energy = -19.1 eV per formula unit
# M_tot = 0.000 μB per atom
data_BaGaPbS2
_chemical_formula_sum 'Ba1 Ga1 Pb1 S2'
_cell_length_a 5.2185
_cell_length_b 5.2185
_cell_length_c 5.1242
_cell_angle_alpha 90.00
_cell_angle_beta 90.00
_cell_angle_gamma 90.00
_symmetry_space_group_name_H-M 'P 4/m m m'
_symmetry_Int_Tables_number 123
_symmetry_space_group_name_Hall '-P 4 2'
loop_
_atom_site_label
_atom_site_fract_x
_atom_site_fract_y
_atom_site_fract_z
Ba1 0.0000 0.0000 0.0000
Ga1 0.5000 0.5000 0.5000
Pb1 0.5000 0.5000 0.0000
S1 0.0000 0.5000 0.5000

[4]
# Ba2Ga2Sb4Pb | Alexandria via LeMat-Bulk | PBE-GGA | relaxed
# energy = -34.8 eV per formula unit
# M_tot = 0.000 μB per atom
data_Ba2Ga2Sb4Pb
_chemical_formula_sum 'Ba4 Ga4 Sb8 Pb2'
_cell_length_a 17.4150
_cell_length_b 5.0813
_cell_length_c 7.2698
_cell_angle_alpha 90.00
_cell_angle_beta 112.74
_cell_angle_gamma 90.00
_symmetry_space_group_name_H-M 'C 1 2/m 1'
_symmetry_Int_Tables_number 12
_symmetry_space_group_name_Hall '-C 2y'
loop_
_atom_site_label
_atom_site_fract_x
_atom_site_fract_y
_atom_site_fract_z
Ba1 0.1387 0.0000 0.0967
Ga1 0.1705 0.5000 0.4868
Sb1 0.0041 0.5000 0.2163
Sb2 0.2022 0.0000 0.6739
Pb1 0.0000 0.0000 0.5000

[5]
# Ba2GaPbSe5 | Alexandria via LeMat-Bulk | PBE-GGA | relaxed
# energy = -38.5 eV per formula unit
# M_tot = 0.000 μB per atom
data_Ba2GaPbSe5
_chemical_formula_sum 'Ba8 Ga4 Pb4 Se20'
_cell_length_a 4.2677
_cell_length_b 20.0054
_cell_length_c 13.0663
_cell_angle_alpha 90.00
_cell_angle_beta 90.00
_cell_angle_gamma 90.00
_symmetry_space_group_name_H-M 'C m c 21'
_symmetry_Int_Tables_number 36
_symmetry_space_group_name_Hall 'C 2c -2'
loop_
_atom_site_label
_atom_site_fract_x
_atom_site_fract_y
_atom_site_fract_z
Ba1 0.0000 0.1121 0.0000
Ba2 0.0000 0.1201 0.6283
Ga1 0.0000 0.4375 0.7559
Pb1 0.0000 0.2176 0.3472
Se1 0.0000 0.0451 0.3600
Se2 0.0000 0.2799 0.0021
Se3 0.0000 0.3209 0.6902
Se4 0.0000 0.3561 0.3160
Se5 0.0000 0.4981 0.5965

[6]
# Ba2SrGaPb | Alexandria via LeMat-Bulk | PBE-GGA | relaxed
# energy = -12.0 eV per formula unit
# E_form = 0.06 eV/atom
# M_tot = 0.164 μB per atom
data_Ba2SrGaPb
_chemical_formula_sum 'Ba2 Sr1 Ga1 Pb1'
_cell_length_a 6.8703
_cell_length_b 6.8703
_cell_length_c 5.4883
_cell_angle_alpha 90.00
_cell_angle_beta 90.00
_cell_angle_gamma 90.00
_symmetry_space_group_name_H-M 'P 4/m m m'
_symmetry_Int_Tables_number 123
_symmetry_space_group_name_Hall '-P 4 2'
loop_
_atom_site_label
_atom_site_fract_x
_atom_site_fract_y
_atom_site_fract_z
Ba1 0.0000 0.5000 0.0000
Sr1 0.0000 0.0000 0.5000
Ga1 0.5000 0.5000 0.5000
Pb1 0.5000 0.5000 0.0000

[7]
# BaGa2TcPb | Alexandria via LeMat-Bulk | PBE-GGA | relaxed
# energy = -23.2 eV per formula unit
# E_form = -0.22 eV/atom
# M_tot = 0.000 μB per atom
data_BaGa2TcPb
_chemical_formula_sum 'Ba1 Ga2 Tc1 Pb1'
_cell_length_a 4.9754
_cell_length_b 4.9754
_cell_length_c 5.3098
_cell_angle_alpha 90.00
_cell_angle_beta 90.00
_cell_angle_gamma 90.00
_symmetry_space_group_name_H-M 'P 4/m m m'
_symmetry_Int_Tables_number 123
_symmetry_space_group_name_Hall '-P 4 2'
loop_
_atom_site_label
_atom_site_fract_x
_atom_site_fract_y
_atom_site_fract_z
Ba1 0.0000 0.0000 0.0000
Ga1 0.0000 0.5000 0.5000
Tc1 0.5000 0.5000 0.5000
Pb1 0.5000 0.5000 0.0000

[8]
# Ba2GaTe5Pb | Alexandria via LeMat-Bulk | PBE-GGA | relaxed
# energy = -34.7 eV per formula unit
# M_tot = 0.000 μB per atom
data_Ba2GaTe5Pb
_chemical_formula_sum 'Ba8 Ga4 Te20 Pb4'
_cell_length_a 4.5637
_cell_length_b 21.5573
_cell_length_c 13.6384
_cell_angle_alpha 90.00
_cell_angle_beta 90.00
_cell_angle_gamma 90.00
_symmetry_space_group_name_H-M 'C m c 21'
_symmetry_Int_Tables_number 36
_symmetry_space_group_name_Hall 'C 2c -2'
loop_
_atom_site_label
_atom_site_fract_x
_atom_site_fract_y
_atom_site_fract_z
Ba1 0.0000 0.1106 0.0000
Ba2 0.0000 0.1195 0.6242
Ga1 0.0000 0.4320 0.7594
Te1 0.0000 0.0486 0.3690
Te2 0.0000 0.2756 0.0081
Te3 0.0000 0.3148 0.6844
Te4 0.0000 0.3597 0.3144
Te5 0.0000 0.4977 0.5956
Pb1 0.0000 0.2217 0.3480

[9]
# BaGaTe4Pb2 | Alexandria via LeMat-Bulk | PBE-GGA | relaxed
# energy = -29.7 eV per formula unit
# M_tot = 0.000 μB per atom
data_BaGaTe4Pb2
_chemical_formula_sum 'Ba4 Ga4 Te16 Pb8'
_cell_length_a 9.3315
_cell_length_b 9.3318
_cell_length_c 13.2137
_cell_angle_alpha 90.00
_cell_angle_beta 90.00
_cell_angle_gamma 90.00
_symmetry_space_group_name_H-M 'I m m a'
_symmetry_Int_Tables_number 74
_symmetry_space_group_name_Hall '-I 2b 2'
loop_
_atom_site_label
_atom_site_fract_x
_atom_site_fract_y
_atom_site_fract_z
Ba1 0.0000 0.0000 0.0000
Ga1 0.2500 0.2500 0.2500
Te1 0.0000 0.0131 0.2570
Te2 0.2372 0.2500 0.4928
Pb1 0.0000 0.0000 0.5000
Pb2 0.2500 0.2500 0.7500

[10]
# Ba3Tl6GaPb2 | Alexandria via LeMat-Bulk | PBE-GGA | relaxed
# energy = -32.2 eV per formula unit
# E_form = -0.15 eV/atom
# M_tot = 0.000 μB per atom
data_Ba3Tl6GaPb2
_chemical_formula_sum 'Ba3 Tl6 Ga1 Pb2'
_cell_length_a 7.1671
_cell_length_b 7.1671
_cell_length_c 9.7043
_cell_angle_alpha 90.00
_cell_angle_beta 90.00
_cell_angle_gamma 120.00
_symmetry_space_group_name_H-M 'P -3 m 1'
_symmetry_Int_Tables_number 164
_symmetry_space_group_name_Hall '-P 3 2"'
loop_
_atom_site_label
_atom_site_fract_x
_atom_site_fract_y
_atom_site_fract_z
Ba1 0.0000 0.0000 0.0000
Ba2 0.3333 0.6667 0.6700
Tl1 0.1823 0.3646 0.3170
Ga1 0.0000 0.0000 0.5000
Pb1 0.3333 0.6667 0.0353

[11]
# Ba2TlGaPb | Alexandria via LeMat-Bulk | PBE-GGA | relaxed
# energy = -13.4 eV per formula unit
# E_form = -0.10 eV/atom
# M_tot = 0.000 μB per atom
data_Ba2TlGaPb
_chemical_formula_sum 'Ba2 Tl1 Ga1 Pb1'
_cell_length_a 6.4279
_cell_length_b 6.4279
_cell_length_c 5.3248
_cell_angle_alpha 90.00
_cell_angle_beta 90.00
_cell_angle_gamma 90.00
_symmetry_space_group_name_H-M 'P 4/m m m'
_symmetry_Int_Tables_number 123
_symmetry_space_group_name_Hall '-P 4 2'
loop_
_atom_site_label
_atom_site_fract_x
_atom_site_fract_y
_atom_site_fract_z
Ba1 0.0000 0.5000 0.0000
Tl1 0.0000 0.0000 0.5000
Ga1 0.5000 0.5000 0.0000
Pb1 0.5000 0.5000 0.5000

[12]
# Ba2Zn4Ga3Pb | Alexandria via LeMat-Bulk | PBE-GGA | relaxed
# energy = -24.9 eV per formula unit
# E_form = -0.31 eV/atom
# M_tot = 0.000 μB per atom
data_Ba2Zn4Ga3Pb
_chemical_formula_sum 'Ba2 Zn4 Ga3 Pb1'
_cell_length_a 4.6366
_cell_length_b 4.6366
_cell_length_c 11.1887
_cell_angle_alpha 90.00
_cell_angle_beta 90.00
_cell_angle_gamma 90.00
_symmetry_space_group_name_H-M 'P -4 m 2'
_symmetry_Int_Tables_number 115
_symmetry_space_group_name_Hall 'P -4 -2'
loop_
_atom_site_label
_atom_site_fract_x
_atom_site_fract_y
_atom_site_fract_z
Ba1 0.0000 0.5000 0.2381
Zn1 0.0000 0.0000 0.0000
Zn2 0.0000 0.5000 0.6481
Zn3 0.5000 0.5000 0.0000
Ga1 0.0000 0.5000 0.8807
Ga2 0.5000 0.5000 0.5000
Pb1 0.0000 0.0000 0.5000